The following is a GGA-PBE calculation of a relaxed structure of ZrTe2P, from Alexandria.

The calculation puts the magnetic moment at 0.000 μB/atom. The value obtained for the formation energy from raw total energies is -38 kJ/mol of formula units.

The structure belongs to space group Immm (No. 71); the cell edges are 4.0359, 4.9462 and 9.0881 Å and the angles 90.00°, 90.00° and 90.00°. The asymmetric unit holds Zr at (0.0000, 0.0000, 0.0000), Te at (0.0000, 0.5000, 0.2085) and P at (0.0000, 0.0000, 0.5000).

=====

The following is a GGA-PBE calculation of a relaxed structure of PaBi2O5, from Alexandria.

The calculation puts the magnetic moment at 0.000 μB/atom. The value obtained for the formation energy from raw total energies is -1591 kJ/mol of formula units.

The structure belongs to space group Pnma (No. 62); the cell edges are 10.1087, 7.4100 and 6.4546 Å and the angles 90.00°, 90.00° and 90.00°. The asymmetric unit holds Pa at (0.0018, 0.2500, 0.0641), Bi at (0.1754, 0.0024, 0.5157), O at (0.0008, 0.7500, 0.5853), O at (0.0853, 0.0326, 0.8478), O at (0.1927, 0.7500, 0.1085) and O at (0.2157, 0.2500, 0.1533).